VASP calculation (GGA-PBE) on a geometry-optimized FeSe structure.

Calculated values
Total DFT energy (no corrections) in eV/atom: -6.01
Density in kg/m3: 5983
Fermi-level density of states in states/eV/cell: 6.04
Formation energy (no corrections) in meV/atom: -36

```
FeSe
1.0
-1.8854 5.4891 -2.8098
-3.0545 -1.6414 -1.1570
-2.0308 -0.9595 6.7228
Fe Se
4 4
direct
0.4190 0.0000 0.8713 Fe
0.0245 0.0000 0.7841 Fe
0.4190 0.5000 0.3713 Fe
0.0245 0.5000 0.2841 Fe
0.3068 0.5000 0.0079 Se
0.3068 0.0000 0.5079 Se
0.8342 0.5000 0.5287 Se
0.8342 0.0000 0.0287 Se
```